The following is a DFT calculation (PBE) of a geometry-optimized Co2SiAu structure. Values from VASP.

```
&SYSTEM
  ibrav = 0, nat = 4, ntyp = 3
/
ATOMIC_SPECIES
Co 58.93 Co.upf
Au 196.97 Au.upf
Si 28.09 Si.upf
CELL_PARAMETERS angstrom
3.564 0.000 0.000
0.000 2.718 0.007
0.000 1.344 5.457
ATOMIC_POSITIONS crystal
Co 0.000 0.925 0.025
Co 0.500 0.295 0.284
Au 0.500 0.558 0.761
Si 0.000 0.722 0.430
```

## Properties
- symmetry = Amm2
- raw formation energy (eV per formula unit) = 0.04



The following is a DFT calculation (PBE) of a geometry-optimized NdY2Tl3S6 structure. Values from VASP.

```
&SYSTEM
  ibrav = 0, nat = 12, ntyp = 4
/
ATOMIC_SPECIES
Y 88.91 Y.upf
Tl 204.38 Tl.upf
Nd 144.24 Nd.upf
S 32.06 S.upf
CELL_PARAMETERS angstrom
-6.532 -1.966 -1.882
2.786 -2.339 6.070
-1.580 7.393 2.198
ATOMIC_POSITIONS crystal
Y 0.333 0.667 0.000
Y 0.667 0.333 0.000
Tl 0.166 0.834 0.500
Tl 0.500 0.500 0.500
Tl 0.834 0.166 0.500
Nd 0.000 0.000 0.000
S 0.067 0.409 0.201
S 0.409 0.067 0.201
S 0.933 0.591 0.799
S 0.725 0.725 0.199
S 0.591 0.933 0.799
S 0.275 0.275 0.801
```

## Properties
- symmetry = C2/m
- raw formation energy (eV per formula unit) = -17.73



The following is a DFT calculation (PBE) of a geometry-optimized NaTlSn structure. Values from VASP.

```
&SYSTEM
  ibrav = 0, nat = 6, ntyp = 3
/
ATOMIC_SPECIES
Na 22.99 Na.upf
Sn 118.71 Sn.upf
Tl 204.38 Tl.upf
CELL_PARAMETERS angstrom
-0.635 4.513 3.353
-3.496 -2.990 3.385
2.287 -3.122 4.641
ATOMIC_POSITIONS crystal
Na 0.750 0.815 0.988
Na 0.250 0.185 0.012
Sn 0.750 0.500 0.632
Sn 0.250 0.500 0.368
Tl 0.250 0.839 0.685
Tl 0.750 0.161 0.315
```

## Properties
- symmetry = P-1
- energy of formation from the pure elements (eV per formula unit) = -0.33



The following is a DFT calculation (PBE) of a geometry-optimized U2BeSi2Ru5 structure. Values from VASP.

```
&SYSTEM
  ibrav = 0, nat = 20, ntyp = 4
/
ATOMIC_SPECIES
Si 28.09 Si.upf
U 238.03 U.upf
Ru 101.07 Ru.upf
Be 9.01 Be.upf
CELL_PARAMETERS angstrom
-1.364 2.338 -1.659
-8.886 -3.878 1.842
-0.671 5.436 8.209
ATOMIC_POSITIONS crystal
Si 0.000 0.370 0.130
Si 0.000 0.630 0.870
Si 0.000 0.130 0.630
Si 0.000 0.870 0.370
U 0.000 0.173 0.327
U 0.000 0.827 0.673
U 0.000 0.327 0.827
U 0.000 0.673 0.173
Ru 0.500 0.946 0.203
Ru 0.500 0.554 0.703
Ru 0.500 0.446 0.297
Ru 0.500 0.797 0.946
Ru 0.500 0.297 0.554
Ru 0.500 0.703 0.446
Ru 0.500 0.500 0.000
Ru 0.500 0.000 0.500
Ru 0.500 0.203 0.054
Ru 0.500 0.054 0.797
Be 0.000 0.500 0.500
Be 0.000 0.000 0.000
```

## Properties
- symmetry = P4/mbm
- raw formation energy (eV per formula unit) = -3.62



The following is a DFT calculation (PBE) of a geometry-optimized Rb2CaAsI6 structure. Values from VASP.

```
&SYSTEM
  ibrav = 0, nat = 10, ntyp = 4
/
ATOMIC_SPECIES
Ca 40.08 Ca.upf
I 126.90 I.upf
As 74.92 As.upf
Rb 85.47 Rb.upf
CELL_PARAMETERS angstrom
-0.411 -0.029 -8.431
5.851 -6.079 -0.264
-2.030 -7.637 -4.100
ATOMIC_POSITIONS crystal
Ca 0.500 0.500 0.000
I 0.762 0.762 0.000
I 0.238 0.762 0.000
I 0.762 0.238 0.000
I 0.269 0.269 0.463
I 0.731 0.731 0.537
I 0.238 0.238 0.000
As 0.000 0.000 0.000
Rb 0.750 0.250 0.500
Rb 0.250 0.750 0.500
```

## Properties
- symmetry = I4/mmm
- raw formation energy (eV per formula unit) = -9.78



The following is a DFT calculation (PBE) of a geometry-optimized Li3Al structure. Values from VASP.

```
&SYSTEM
  ibrav = 0, nat = 8, ntyp = 2
/
ATOMIC_SPECIES
Li 6.94 Li.upf
Al 26.98 Al.upf
CELL_PARAMETERS angstrom
4.604 0.000 0.000
-2.302 4.819 0.000
0.000 0.000 5.741
ATOMIC_POSITIONS crystal
Li 0.688 0.376 0.750
Li 0.879 0.759 0.029
Li 0.879 0.759 0.471
Li 0.312 0.624 0.250
Li 0.121 0.241 0.971
Li 0.121 0.241 0.529
Al 0.589 0.179 0.250
Al 0.411 0.821 0.750
```

## Properties
- symmetry = Cmcm
- energy of formation from the pure elements (eV per formula unit) = -0.06



The following is a DFT calculation (PBE) of a geometry-optimized MgV5 structure. Values from VASP.

```
&SYSTEM
  ibrav = 0, nat = 6, ntyp = 2
/
ATOMIC_SPECIES
V 50.94 V.upf
Mg 24.30 Mg.upf
CELL_PARAMETERS angstrom
-1.635 2.361 1.029
-0.746 -2.217 3.900
5.560 3.640 0.481
ATOMIC_POSITIONS crystal
V 0.500 0.186 0.372
V 0.000 0.665 0.330
V 0.500 0.814 0.628
V 0.500 0.500 0.000
V 0.000 0.335 0.670
Mg 0.000 0.000 0.000
```

## Properties
- symmetry = Cmmm
- energy of formation from the pure elements (eV per formula unit) = 1.23



The following is a DFT calculation (PBE) of a geometry-optimized PuTiPb2 structure. Values from VASP.

```
&SYSTEM
  ibrav = 0, nat = 4, ntyp = 3
/
ATOMIC_SPECIES
Pb 207.20 Pb.upf
Pu 244.00 Pu.upf
Ti 47.87 Ti.upf
CELL_PARAMETERS angstrom
-3.993 1.626 -1.543
-2.263 -2.379 3.348
0.388 3.682 2.878
ATOMIC_POSITIONS crystal
Pb 0.000 0.000 0.500
Pb 0.000 0.500 0.000
Pu 0.500 0.500 0.500
Ti 0.500 0.000 0.000
```

## Properties
- symmetry = P4/mmm
- energy of formation from the pure elements (eV per formula unit) = 0.13
- energy relative to the lowest polymorph listed for this composition (kJ/mol of atoms) = 0.0



Repeat the second record exactly.
The following is a DFT calculation (PBE) of a geometry-optimized NdY2Tl3S6 structure. Values from VASP.

```
&SYSTEM
  ibrav = 0, nat = 12, ntyp = 4
/
ATOMIC_SPECIES
Y 88.91 Y.upf
Tl 204.38 Tl.upf
Nd 144.24 Nd.upf
S 32.06 S.upf
CELL_PARAMETERS angstrom
-6.532 -1.966 -1.882
2.786 -2.339 6.070
-1.580 7.393 2.198
ATOMIC_POSITIONS crystal
Y 0.333 0.667 0.000
Y 0.667 0.333 0.000
Tl 0.166 0.834 0.500
Tl 0.500 0.500 0.500
Tl 0.834 0.166 0.500
Nd 0.000 0.000 0.000
S 0.067 0.409 0.201
S 0.409 0.067 0.201
S 0.933 0.591 0.799
S 0.725 0.725 0.199
S 0.591 0.933 0.799
S 0.275 0.275 0.801
```

## Properties
- symmetry = C2/m
- raw formation energy (eV per formula unit) = -17.73



Copy entry 8 word for word.
The following is a DFT calculation (PBE) of a geometry-optimized PuTiPb2 structure. Values from VASP.

```
&SYSTEM
  ibrav = 0, nat = 4, ntyp = 3
/
ATOMIC_SPECIES
Pb 207.20 Pb.upf
Pu 244.00 Pu.upf
Ti 47.87 Ti.upf
CELL_PARAMETERS angstrom
-3.993 1.626 -1.543
-2.263 -2.379 3.348
0.388 3.682 2.878
ATOMIC_POSITIONS crystal
Pb 0.000 0.000 0.500
Pb 0.000 0.500 0.000
Pu 0.500 0.500 0.500
Ti 0.500 0.000 0.000
```

## Properties
- symmetry = P4/mmm
- energy of formation from the pure elements (eV per formula unit) = 0.13
- energy relative to the lowest polymorph listed for this composition (kJ/mol of atoms) = 0.0